(1)
The following is a DFT calculation (PBE) of crystalline SrPuTlHg at its relaxed geometry.

a = 5.554 Å, b = 5.554 Å, c = 5.554 Å
α = 60.00°, β = 60.00°, γ = 60.00°
Atoms (fractional coordinates):
Sr: 0.250 0.250 0.250
Tl: 0.000 0.000 0.000
Hg: 0.500 0.500 0.500
Pu: 0.750 0.750 0.750

E_form ... -201 meV per atom
VASP energy ... -19.49 eV for the cell shown
Space-group type ... F-43m, No. 216

(2)
The following is a DFT calculation (PBE) of crystalline Ba2P2Ru2N at its relaxed geometry.

a = 4.002 Å, b = 6.130 Å, c = 6.831 Å
α = 70.79°, β = 72.97°, γ = 70.95°
Atoms (fractional coordinates):
Ba: 0.563 0.197 0.677
Ba: 0.437 0.803 0.323
P: 0.200 0.364 0.237
P: 0.800 0.636 0.763
Ru: 0.184 0.693 0.939
Ru: 0.816 0.307 0.061
N: 0.000 0.000 0.000

Formation energy from raw total energies ... -17.44 kcal/mol of atoms
VASP energy ... -46.84 eV for the cell shown
Space-group type ... C2/m, No. 12